Entry 1:
Density functional theory data (PBE) for a relaxed NbSnN2 crystal.

Lattice parameters (Å, degrees): 7.0939 7.0939 7.0939 25.80 25.80 25.80
Positions (direct):
Nb: 0.0000 0.0000 0.0000
Sn: 0.5000 0.5000 0.5000
N: 0.3869 0.3869 0.3869
N: 0.6131 0.6131 0.6131

Summary:
D(E_F): 0.18 states/eV/atom
Total magnetization: 0.0 μB/cell
Uncorrected formation energy: -395 meV/atom

=====

Entry 2:
Density functional theory data (PBE) for a relaxed Tl3BiAu crystal.

Lattice parameters (Å, degrees): 11.5215 11.5215 4.5155 90.00 90.00 90.00
Positions (direct):
Tl: 0.0022 0.3379 0.0000
Tl: 0.1171 0.8829 0.5000
Tl: 0.1621 0.5022 0.5000
Tl: 0.3379 0.0022 0.0000
Tl: 0.3829 0.3829 0.0000
Tl: 0.4978 0.8379 0.5000
Tl: 0.5022 0.1621 0.5000
Tl: 0.6171 0.6171 0.0000
Tl: 0.6621 0.9978 0.0000
Tl: 0.8379 0.4978 0.5000
Tl: 0.8829 0.1171 0.5000
Tl: 0.9978 0.6621 0.0000
Bi: 0.1962 0.1962 0.5000
Bi: 0.3038 0.6962 0.0000
Bi: 0.6962 0.3038 0.0000
Bi: 0.8038 0.8038 0.5000
Au: 0.0853 0.0853 0.0000
Au: 0.4147 0.5853 0.5000
Au: 0.5853 0.4147 0.5000
Au: 0.9147 0.9147 0.0000

Summary:
Formation enthalpy at 0 K: -0.034 eV per atom
D(E_F): 0.30 states/eV/atom
Total magnetization: 0.0 μB/cell

=====

Entry 3:
Density functional theory data (PBE) for a relaxed Mg3Cd12Bi5 crystal.

Lattice parameters (Å, degrees): 14.8778 14.8778 14.8778 109.47 109.47 109.47
Positions (direct):
Mg: 0.1250 0.2500 0.3750
Mg: 0.1250 0.3750 0.7500
Mg: 0.2500 0.3750 0.1250
Mg: 0.2500 0.8750 0.6250
Mg: 0.3750 0.1250 0.2500
Mg: 0.3750 0.7500 0.1250
Mg: 0.6250 0.2500 0.8750
Mg: 0.6250 0.8750 0.7500
Mg: 0.7500 0.1250 0.3750
Mg: 0.7500 0.6250 0.8750
Mg: 0.8750 0.6250 0.2500
Mg: 0.8750 0.7500 0.6250
Cd: 0.0691 0.2386 0.1380
Cd: 0.0691 0.3305 0.9310
Cd: 0.0690 0.6380 0.3994
Cd: 0.0690 0.9309 0.6695
Cd: 0.1006 0.7386 0.6695
Cd: 0.1006 0.8620 0.4310
Cd: 0.1380 0.0691 0.2386
Cd: 0.1380 0.5690 0.8994
Cd: 0.1695 0.2386 0.6006
Cd: 0.1695 0.4309 0.5690
Cd: 0.2386 0.1380 0.0691
Cd: 0.2386 0.6006 0.1695
Cd: 0.2614 0.3305 0.8994
Cd: 0.2614 0.4309 0.3620
Cd: 0.3305 0.8994 0.2614
Cd: 0.3305 0.9310 0.0691
Cd: 0.3620 0.2614 0.4309
Cd: 0.3620 0.6006 0.9310
Cd: 0.3994 0.0690 0.6380
Cd: 0.3994 0.8305 0.7614
Cd: 0.4310 0.1006 0.8620
Cd: 0.4309 0.3620 0.2614
Cd: 0.4309 0.5690 0.1695
Cd: 0.4310 0.8305 0.5691
Cd: 0.5690 0.1695 0.4309
Cd: 0.5691 0.4310 0.8305
Cd: 0.5691 0.6380 0.7386
Cd: 0.5690 0.8994 0.1380
Cd: 0.6006 0.1695 0.2386
Cd: 0.6006 0.9310 0.3620
Cd: 0.6380 0.3994 0.0690
Cd: 0.6380 0.7386 0.5691
Cd: 0.6695 0.0690 0.9309
Cd: 0.6695 0.1006 0.7386
Cd: 0.7386 0.5691 0.6380
Cd: 0.7386 0.6695 0.1006
Cd: 0.7614 0.3994 0.8305
Cd: 0.7614 0.8620 0.9309
Cd: 0.8305 0.5691 0.4310
Cd: 0.8305 0.7614 0.3994
Cd: 0.8620 0.4310 0.1006
Cd: 0.8620 0.9309 0.7614
Cd: 0.8994 0.1380 0.5690
Cd: 0.8994 0.2614 0.3305
Cd: 0.9310 0.0691 0.3305
Cd: 0.9310 0.3620 0.6006
Cd: 0.9309 0.6695 0.0690
Cd: 0.9309 0.7614 0.8620
Bi: 0.0000 0.0000 0.0000
Bi: 0.0000 0.0000 0.5000
Bi: 0.0000 0.5000 0.0000
Bi: 0.0000 0.5000 0.5000
Bi: 0.1250 0.7500 0.8750
Bi: 0.1250 0.8750 0.2500
Bi: 0.2500 0.1250 0.8750
Bi: 0.2500 0.6250 0.3750
Bi: 0.3750 0.2500 0.6250
Bi: 0.3750 0.6250 0.7500
Bi: 0.5000 0.0000 0.0000
Bi: 0.5000 0.0000 0.5000
Bi: 0.5000 0.5000 0.0000
Bi: 0.5000 0.5000 0.5000
Bi: 0.6250 0.3750 0.2500
Bi: 0.6250 0.7500 0.3750
Bi: 0.7500 0.3750 0.6250
Bi: 0.7500 0.8750 0.1250
Bi: 0.8750 0.1250 0.7500
Bi: 0.8750 0.2500 0.1250

Summary:
Formation enthalpy at 0 K: 0.153 eV per atom
D(E_F): 0.61 states/eV/atom
Total magnetization: 0.0 μB/cell

=====

Entry 4:
Density functional theory data (PBE) for a relaxed K2BaNpO6 crystal.

Lattice parameters (Å, degrees): 6.3763 6.4625 11.0504 90.00 125.15 90.00
Positions (direct):
K: 0.2455 0.0322 0.2538
K: 0.2455 0.4678 0.7538
K: 0.7545 0.5322 0.2462
K: 0.7545 0.9678 0.7462
Ba: 0.5000 0.0000 0.0000
Ba: 0.5000 0.5000 0.5000
Np: 0.0000 0.0000 0.5000
Np: 0.0000 0.5000 0.0000
O: 0.1227 0.2472 0.4478
O: 0.1227 0.2528 0.9478
O: 0.2164 0.6785 0.9647
O: 0.2164 0.8215 0.4647
O: 0.2940 0.0347 0.7125
O: 0.2940 0.4653 0.2125
O: 0.7060 0.5347 0.7875
O: 0.7060 0.9653 0.2875
O: 0.7836 0.1785 0.5353
O: 0.7836 0.3215 0.0353
O: 0.8773 0.7472 0.0522
O: 0.8773 0.7528 0.5522

Summary:
D(E_F): 1.21 states/eV/atom
Total magnetization: 2.1 μB/cell
Uncorrected formation energy: -2266 meV/atom

=====

Entry 5:
Density functional theory data (PBE) for a relaxed SrBe2Br2 crystal.

Lattice parameters (Å, degrees): 7.9205 7.9205 4.5312 90.00 90.00 90.00
Positions (direct):
Sr: 0.0000 0.0000 0.0000
Sr: 0.5000 0.5000 0.0000
Be: 0.2284 0.2716 0.5000
Be: 0.2716 0.7716 0.5000
Be: 0.7284 0.2284 0.5000
Be: 0.7716 0.7284 0.5000
Br: 0.1522 0.3478 0.0000
Br: 0.3478 0.8478 0.0000
Br: 0.6522 0.1522 0.0000
Br: 0.8478 0.6522 0.0000

Summary:
D(E_F): 0.97 states/eV/atom
Total magnetization: 0.0 μB/cell
Uncorrected formation energy: 162 meV/atom

=====

Entry 6:
Density functional theory data (PBE) for a relaxed Li7InHg3 crystal.

Lattice parameters (Å, degrees): 14.0298 14.0298 10.4378 90.00 90.00 167.68
Positions (direct):
Li: 0.0440 0.9560 0.7500
Li: 0.0470 0.9530 0.0115
Li: 0.0470 0.9530 0.4885
Li: 0.1381 0.8619 0.1179
Li: 0.1381 0.8619 0.3821
Li: 0.2089 0.7911 0.5938
Li: 0.2089 0.7911 0.9062
Li: 0.7911 0.2089 0.0938
Li: 0.7911 0.2089 0.4062
Li: 0.8619 0.1381 0.6179
Li: 0.8619 0.1381 0.8821
Li: 0.9530 0.0470 0.5115
Li: 0.9530 0.0470 0.9885
Li: 0.9560 0.0440 0.2500
In: 0.4506 0.5494 0.7500
In: 0.5494 0.4506 0.2500
Hg: 0.2896 0.7104 0.7500
Hg: 0.3786 0.6214 0.1090
Hg: 0.3786 0.6214 0.3910
Hg: 0.6214 0.3786 0.6090
Hg: 0.6214 0.3786 0.8910
Hg: 0.7104 0.2896 0.2500

Summary:
Formation enthalpy at 0 K: -0.206 eV per atom
D(E_F): 0.32 states/eV/atom
Total magnetization: 0.0 μB/cell

=====

Entry 7:
Density functional theory data (PBE) for a relaxed LiTaRe2 crystal.

Lattice parameters (Å, degrees): 2.7147 2.7147 8.9585 90.00 90.00 109.12
Positions (direct):
Li: 0.0000 0.0000 0.0000
Ta: 0.0000 0.0000 0.5000
Re: 0.5000 0.5000 0.2511
Re: 0.5000 0.5000 0.7489

Summary:
Formation enthalpy at 0 K: 0.117 eV per atom
D(E_F): 0.48 states/eV/atom
Total magnetization: 0.0 μB/cell

=====

Entry 8:
Density functional theory data (PBE) for a relaxed InRuSeN2 crystal.

Lattice parameters (Å, degrees): 4.1091 4.1091 5.7009 90.00 90.00 90.00
Positions (direct):
In: 0.0000 0.0000 0.0000
Ru: 0.5000 0.5000 0.5000
Se: 0.0000 0.0000 0.5000
N: 0.0000 0.5000 0.0000
N: 0.5000 0.0000 0.0000

Summary:
D(E_F): 1.30 states/eV/atom
Total magnetization: 6.2 μB/cell
Uncorrected formation energy: 1912 meV/atom